A relaxed structure of DyMn4Nb. Source: Alexandria, functional PBE.

Values from the calculation:
uncorrected energy: -204.3 eV for the cell shown
density of states at the Fermi level: 1.002 states/eV per atom

Geometry as CIF:
```
data_DyMn4Nb
_cell_length_a 7.036
_cell_length_b 7.036
_cell_length_c 7.036
_cell_angle_alpha 90.00
_cell_angle_beta 90.00
_cell_angle_gamma 90.00
_space_group_name_H-M_alt 'F -4 3 m'
_space_group_IT_number 216
_space_group_name_Hall 'F -4 2 3'
loop_
_atom_site_label
_atom_site_type_symbol
_atom_site_fract_x
_atom_site_fract_y
_atom_site_fract_z
Dy1 Dy 0.000 0.000 0.000
Mn1 Mn 0.124 0.124 0.624
Nb1 Nb 0.250 0.250 0.250
```